Model a:
DFT (PBE-GGA) results for an optimized crystal structure of SrPt2Au2.

Results
M_tot: 0.00 μB/f.u.

Cell: 13.0412 13.0412 13.0412 Å, 161.83 161.83 25.80°
With the nearest neighbours (Å) after each atom.
Positions (direct):
Sr: 0.1234 0.1234 0.0000  4 Pt 3.17, 4 Au 3.21
Sr: 0.8766 0.8766 0.0000  4 Pt 3.17, 4 Au 3.21
Pt: 0.2500 0.7500 0.5000  4 Au 2.78, 4 Pt 2.91
Pt: 0.4263 0.4263 0.0000  5 Au 2.61-2.78
Pt: 0.5737 0.5737 0.0000  5 Au 2.61-2.78
Pt: 0.7500 0.2500 0.5000  4 Au 2.78, 4 Pt 2.91
Au: 0.0000 0.5000 0.5000  4 Pt 2.78, 4 Au 2.91
Au: 0.3237 0.3237 0.0000  5 Pt 2.61-2.78
Au: 0.5000 0.0000 0.5000  4 Pt 2.78, 4 Au 2.91
Au: 0.6763 0.6763 0.0000  5 Pt 2.61-2.78

---

Model b:
DFT (PBE-GGA) results for an optimized crystal structure of SrPt2Au2.

Results
M_tot: 0.00 μB/f.u.

Cell: 6.8439 6.8439 6.8439 Å, 144.18 144.18 51.56°
With the nearest neighbours (Å) after each atom.
Positions (direct):
Sr: 0.0000 0.0000 0.0000  8 Pt 3.23
Pt: 0.3983 0.3983 0.0000  1 Pt 2.51, 4 Au 2.79
Pt: 0.6017 0.6017 0.0000  1 Pt 2.51, 4 Au 2.79
Au: 0.2500 0.7500 0.5000  4 Pt 2.79, 4 Au 2.98
Au: 0.7500 0.2500 0.5000  4 Pt 2.79, 4 Au 2.98

---

Model c:
DFT (PBE-GGA) results for an optimized crystal structure of SrPt2Au2.

Results
M_tot: 0.00 μB/f.u.

Cell: 7.9572 7.9572 3.1587 Å, 90.00 90.00 90.00°
With the nearest neighbours (Å) after each atom.
Positions (direct):
Sr: 0.0000 0.0000 0.0000  4 Au 3.13, 2 Sr 3.16, 8 Pt 3.35
Sr: 0.5000 0.5000 0.0000  4 Au 3.13, 2 Sr 3.16, 8 Pt 3.35
Pt: 0.1706 0.3294 0.5000  6 Au 2.77-2.87
Pt: 0.3294 0.8294 0.5000  6 Au 2.77-2.87
Pt: 0.6706 0.1706 0.5000  6 Au 2.77-2.87
Pt: 0.8294 0.6706 0.5000  6 Au 2.77-2.87
Au: 0.1274 0.6274 0.0000  6 Pt 2.77-2.87, 1 Au 2.87
Au: 0.3726 0.1274 0.0000  6 Pt 2.77-2.87, 1 Au 2.87
Au: 0.6274 0.8726 0.0000  6 Pt 2.77-2.87, 1 Au 2.87
Au: 0.8726 0.3726 0.0000  6 Pt 2.77-2.87, 1 Au 2.87

---

Model d:
DFT (PBE-GGA) results for an optimized crystal structure of SrPt2Au2.

Results
M_tot: 0.00 μB/f.u.

Cell: 7.8444 7.8444 3.2548 Å, 90.00 90.00 90.00°
With the nearest neighbours (Å) after each atom.
Positions (direct):
Sr: 0.0000 0.0000 0.0000  4 Pt 3.10, 2 Sr 3.25, 8 Au 3.33
Sr: 0.5000 0.5000 0.0000  4 Pt 3.10, 2 Sr 3.25, 8 Au 3.33
Pt: 0.1246 0.3754 0.0000  1 Pt 2.77, 6 Au 2.78-2.87
Pt: 0.3754 0.8754 0.0000  1 Pt 2.77, 6 Au 2.78-2.87
Pt: 0.6246 0.1246 0.0000  1 Pt 2.77, 6 Au 2.78-2.87
Pt: 0.8754 0.6246 0.0000  1 Pt 2.77, 6 Au 2.78-2.87
Au: 0.1724 0.6724 0.5000  6 Pt 2.78-2.87
Au: 0.3276 0.1724 0.5000  6 Pt 2.78-2.87
Au: 0.6724 0.8276 0.5000  6 Pt 2.78-2.87
Au: 0.8276 0.3276 0.5000  6 Pt 2.78-2.87

---

Stability check: which of them is least stable? model c.

---

Model a:
DFT (PBE-GGA) results for an optimized crystal structure of SrPtAu2.

Results
M_tot: 0.00 μB/f.u.

Cell: 5.5942 5.5942 5.5942 Å, 138.97 131.65 65.23°
With the nearest neighbours (Å) after each atom.
Positions (direct):
Sr: 0.0000 0.0000 0.0000  4 Pt 3.02, 8 Au 3.14-3.23
Pt: 0.5000 0.5000 0.0000  4 Au 2.91, 4 Sr 3.02
Au: 0.2719 0.7719 0.5000  2 Pt 2.91, 4 Au 3.04, 4 Sr 3.14-3.23
Au: 0.7281 0.2281 0.5000  2 Pt 2.91, 4 Au 3.04, 4 Sr 3.14-3.23

---

Model b:
DFT (PBE-GGA) results for an optimized crystal structure of SrPtAu2.

Results
M_tot: 0.00 μB/f.u.

Cell: 4.0281 4.6647 5.3634 Å, 90.00 90.12 90.00°
With the nearest neighbours (Å) after each atom.
Positions (direct):
Sr: 0.0000 0.0000 0.0000  4 Pt 3.35-3.36, 8 Au 3.35
Pt: 0.5000 0.0000 0.5000  4 Au 2.70
Au: 0.4993 0.5000 0.7527  2 Au 2.65-2.71, 2 Pt 2.70
Au: 0.5007 0.5000 0.2473  2 Au 2.65-2.71, 2 Pt 2.70

---

Model c:
DFT (PBE-GGA) results for an optimized crystal structure of SrPtAu2.

Results
M_tot: 0.00 μB/f.u.

Cell: 4.0835 4.5936 5.4400 Å, 90.00 90.14 90.00°
With the nearest neighbours (Å) after each atom.
Positions (direct):
Sr: 0.0000 0.0000 0.0000  8 Au 3.27-3.53, 4 Pt 3.30
Pt: 0.4990 0.5000 0.7771  4 Au 2.62-2.82
Au: 0.4992 0.0000 0.5288  2 Pt 2.66, 2 Au 2.73
Au: 0.5006 0.5000 0.2592  2 Pt 2.62-2.82, 2 Au 2.73

---

Stability check: which of them is least stable? model a.

---

Model a:
DFT (PBE-GGA) results for an optimized crystal structure of SrPtAu2.

Results
M_tot: 0.00 μB/f.u.

Cell: 4.9529 4.9529 4.9529 Å, 60.00 60.00 60.00°
With the nearest neighbours (Å) after each atom.
Positions (direct):
Sr: 0.0000 0.0000 0.0000  4 Pt 3.03, 4 Au 3.03
Pt: 0.7500 0.7500 0.7500  4 Au 3.03, 4 Sr 3.03
Au: 0.2500 0.2500 0.2500  4 Au 3.03, 4 Sr 3.03
Au: 0.5000 0.5000 0.5000  4 Pt 3.03, 4 Au 3.03

---

Model b:
DFT (PBE-GGA) results for an optimized crystal structure of SrPtAu2.

Results
M_tot: 0.00 μB/f.u.

Cell: 4.7192 4.7192 5.7403 Å, 113.66 113.66 59.84°
With the nearest neighbours (Å) after each atom.
Positions (direct):
Sr: 0.0000 0.0000 0.0000  1 Pt 2.98, 1 Au 3.01
Pt: 0.1947 0.1947 0.5851  6 Au 2.73-2.88, 1 Sr 2.98
Au: 0.5142 0.5142 0.5438  3 Pt 2.73, 3 Au 2.81
Au: 0.8028 0.8028 0.4078  3 Au 2.81, 3 Pt 2.86-2.88, 1 Sr 3.01

---

Stability check: which of them is least stable? model a.